The following is a DFT calculation (PBE-GGA) of crystalline Fe2RhBr at its relaxed geometry.

Output
Its uncorrected formation energy is 0.4379 eV per atom. The density of states at the Fermi level is 2.353 states/eV per cell. The mass density comes out at 6.71 g/cm3. As for the space-group type: No. 6. The polymorph energy (0 for the lowest one) is 156 meV/atom.

Cell and atoms, written as POSCAR:
```
Fe2RhBr
1.0
3.2547 0.0000 0.0000
0.0000 3.5997 0.0000
-0.0033 0.0000 6.2225
Fe Rh Br
2 1 1
direct
0.0000 0.0000 0.0000 Fe
0.0004 0.5000 0.2666 Fe
0.5004 0.0000 0.3432 Rh
0.4989 0.5000 0.7689 Br
```